Material: ScPaSb
Method: DFT, GGA-PBE
State: optimized geometry

As for the energy above the most stable polymorph in this dataset: 0.00 kJ/mol of atoms.

Cell: 6.829 6.829 6.829 Å, 90.00 90.00 90.00°
Space group F-43m (No. 216)
Unique sites:
Sc  0.000  0.000  0.000 x4
Pa  0.250  0.250  0.750 x4
Sb  0.250  0.250  0.250 x4